First-principles (GGA-PBE) data for LiMg5Al2 after structural relaxation, as listed in the Alexandria database.

Lattice parameters (Å, degrees): 5.547 5.547 14.352 90.00 90.00 132.02
Sites, in units of the cell vectors:
Li (0.222, 0.778, 0.750)
Li (0.778, 0.222, 0.250)
Mg (0.054, 0.946, 0.600)
Mg (0.054, 0.946, 0.900)
Mg (0.354, 0.646, 0.542)
Mg (0.354, 0.646, 0.958)
Mg (0.495, 0.505, 0.750)
Mg (0.505, 0.495, 0.250)
Mg (0.646, 0.354, 0.042)
Mg (0.646, 0.354, 0.458)
Mg (0.946, 0.054, 0.100)
Mg (0.946, 0.054, 0.400)
Al (0.236, 0.764, 0.152)
Al (0.236, 0.764, 0.348)
Al (0.764, 0.236, 0.652)
Al (0.764, 0.236, 0.848)

Values from the calculation:
SG: Cmcm
Magnetization, Bohr magnetons per cell: 0.0
DFT total energy, eV/atom: -2.16
DFT formation energy, meV/atom: 7